A plane-wave DFT calculation with PBE-GGA was carried out for crystalline TlReSn3 at its relaxed geometry.

a = 5.5913 Å, b = 5.5913 Å, c = 5.5913 Å
α = 90.00°, β = 90.00°, γ = 90.00°
Element x y z (fractional)
Tl 0.0000 0.0000 0.0000
Re 0.5000 0.5000 0.5000
Sn 0.0000 0.0000 0.5000
Sn 0.0000 0.5000 0.0000
Sn 0.5000 0.0000 0.0000

Calculated values
E_form = 1.829 eV per atom
distance to the lowest polymorph of the same formula = 1490 meV per atom
symmetry = Pm-3m